# Nb2Al2Tc, relaxed, DFT PBE
# Energy of formation ... 1.655 eV/f.u.
# M_tot ... 0.00 μB per formula unit
# ΔE to the lowest computed polymorph ... 531 meV/atom
data_Nb2Al2Tc
_chemical_formula_sum 'Nb2 Al2 Tc1'
_symmetry_space_group_name_H-M 'P 1'
_symmetry_Int_Tables_number 1
_cell_length_a 3.679
_cell_length_b 3.679
_cell_length_c 6.998
_cell_angle_alpha 74.76
_cell_angle_beta 74.76
_cell_angle_gamma 90.00
loop_
_symmetry_equiv_pos_as_xyz
'x,y,z'
loop_
_atom_site_label
_atom_site_fract_x
_atom_site_fract_y
_atom_site_fract_z
Nb1 0.750 0.250 0.500
Nb2 0.250 0.750 0.500
Tc1 0.000 0.000 0.000
Al1 0.408 0.408 0.183
Al2 0.592 0.592 0.817

=====

# Nb2AlTc, relaxed, DFT PBE
# Energy of formation ... 0.075 eV/f.u.
# M_tot ... 0.00 μB per formula unit
data_Nb2AlTc
_chemical_formula_sum 'Nb2 Al1 Tc1'
_symmetry_space_group_name_H-M 'P 1'
_symmetry_Int_Tables_number 1
_cell_length_a 2.955
_cell_length_b 2.955
_cell_length_c 9.161
_cell_angle_alpha 80.72
_cell_angle_beta 80.72
_cell_angle_gamma 60.00
loop_
_symmetry_equiv_pos_as_xyz
'x,y,z'
loop_
_atom_site_label
_atom_site_fract_x
_atom_site_fract_y
_atom_site_fract_z
Nb1 0.253 0.253 0.240
Nb2 0.747 0.747 0.760
Tc1 0.000 0.000 0.000
Al1 0.500 0.500 0.500

=====

# NbAl2Tc, relaxed, DFT PBE
# Energy of formation ... 0.622 eV/f.u.
# M_tot ... 0.00 μB per formula unit
# ΔE to the lowest computed polymorph ... 412 meV/atom
data_NbAl2Tc
_chemical_formula_sum 'Nb2 Al4 Tc2'
_symmetry_space_group_name_H-M 'P 1'
_symmetry_Int_Tables_number 1
_cell_length_a 3.788
_cell_length_b 3.788
_cell_length_c 9.946
_cell_angle_alpha 79.02
_cell_angle_beta 79.02
_cell_angle_gamma 90.00
loop_
_symmetry_equiv_pos_as_xyz
'x,y,z'
loop_
_atom_site_label
_atom_site_fract_x
_atom_site_fract_y
_atom_site_fract_z
Nb1 0.500 0.500 0.000
Nb2 0.250 0.750 0.500
Tc1 0.000 0.000 0.000
Tc2 0.750 0.250 0.500
Al1 0.628 0.125 0.250
Al2 0.122 0.625 0.250
Al3 0.375 0.372 0.750
Al4 0.875 0.878 0.750

=====

# Nb4AlTc5, relaxed, DFT PBE
# Energy of formation ... -3.481 eV/f.u.
# M_tot ... 0.00 μB per formula unit
data_Nb4AlTc5
_chemical_formula_sum 'Nb4 Al1 Tc5'
_symmetry_space_group_name_H-M 'P 1'
_symmetry_Int_Tables_number 1
_cell_length_a 3.189
_cell_length_b 3.189
_cell_length_c 15.660
_cell_angle_alpha 90.00
_cell_angle_beta 90.00
_cell_angle_gamma 90.00
loop_
_symmetry_equiv_pos_as_xyz
'x,y,z'
loop_
_atom_site_label
_atom_site_fract_x
_atom_site_fract_y
_atom_site_fract_z
Nb1 0.000 0.000 0.191
Nb2 0.000 0.000 0.397
Nb3 0.000 0.000 0.603
Nb4 0.000 0.000 0.809
Al1 0.000 0.000 0.000
Tc1 0.500 0.500 0.096
Tc2 0.500 0.500 0.297
Tc3 0.500 0.500 0.500
Tc4 0.500 0.500 0.703
Tc5 0.500 0.500 0.904

=====

# Nb2Al2Tc, relaxed, DFT PBE
# Energy of formation ... -1.001 eV/f.u.
# M_tot ... 0.00 μB per formula unit
# ΔE to the lowest computed polymorph ... 0 meV/atom
data_Nb2Al2Tc
_chemical_formula_sum 'Nb4 Al4 Tc2'
_symmetry_space_group_name_H-M 'P 1'
_symmetry_Int_Tables_number 1
_cell_length_a 6.746
_cell_length_b 6.746
_cell_length_c 3.588
_cell_angle_alpha 90.00
_cell_angle_beta 90.00
_cell_angle_gamma 90.00
loop_
_symmetry_equiv_pos_as_xyz
'x,y,z'
loop_
_atom_site_label
_atom_site_fract_x
_atom_site_fract_y
_atom_site_fract_z
Nb1 0.170 0.670 0.500
Nb2 0.670 0.830 0.500
Nb3 0.830 0.330 0.500
Nb4 0.330 0.170 0.500
Tc1 0.000 0.000 0.000
Tc2 0.500 0.500 0.000
Al1 0.368 0.868 0.000
Al2 0.868 0.632 0.000
Al3 0.632 0.132 0.000
Al4 0.132 0.368 0.000

=====

# Nb2AlTc, relaxed, DFT PBE
# Energy of formation ... 1.369 eV/f.u.
# M_tot ... 0.00 μB per formula unit
data_Nb2AlTc
_chemical_formula_sum 'Nb4 Al2 Tc2'
_symmetry_space_group_name_H-M 'P 1'
_symmetry_Int_Tables_number 1
_cell_length_a 7.384
_cell_length_b 7.384
_cell_length_c 5.873
_cell_angle_alpha 51.05
_cell_angle_beta 51.05
_cell_angle_gamma 90.00
loop_
_symmetry_equiv_pos_as_xyz
'x,y,z'
loop_
_atom_site_label
_atom_site_fract_x
_atom_site_fract_y
_atom_site_fract_z
Nb1 0.663 0.125 0.250
Nb2 0.087 0.625 0.250
Nb3 0.375 0.337 0.750
Nb4 0.875 0.913 0.750
Tc1 0.000 0.000 0.000
Tc2 0.750 0.250 0.500
Al1 0.500 0.500 0.000
Al2 0.250 0.750 0.500

=====

# Nb2Al3Tc4, relaxed, DFT PBE
# Energy of formation ... -3.434 eV/f.u.
# M_tot ... 0.00 μB per formula unit
data_Nb2Al3Tc4
_chemical_formula_sum 'Nb2 Al3 Tc4'
_symmetry_space_group_name_H-M 'P 1'
_symmetry_Int_Tables_number 1
_cell_length_a 4.429
_cell_length_b 4.430
_cell_length_c 8.138
_cell_angle_alpha 89.99
_cell_angle_beta 90.00
_cell_angle_gamma 60.00
loop_
_symmetry_equiv_pos_as_xyz
'x,y,z'
loop_
_atom_site_label
_atom_site_fract_x
_atom_site_fract_y
_atom_site_fract_z
Nb1 0.333 0.333 0.783
Nb2 0.667 0.667 0.217
Al1 0.333 0.333 0.434
Al2 0.000 0.000 0.000
Al3 0.667 0.667 0.566
Tc1 0.667 0.667 0.890
Tc2 0.000 0.000 0.348
Tc3 0.000 0.000 0.652
Tc4 0.333 0.333 0.110

=====

# Nb3AlTc, relaxed, DFT PBE
# Energy of formation ... 7.024 eV/f.u.
# M_tot ... 0.00 μB per formula unit
# ΔE to the lowest computed polymorph ... 443 meV/atom
data_Nb3AlTc
_chemical_formula_sum 'Nb3 Al1 Tc1'
_symmetry_space_group_name_H-M 'P 1'
_symmetry_Int_Tables_number 1
_cell_length_a 4.637
_cell_length_b 4.637
_cell_length_c 4.637
_cell_angle_alpha 90.00
_cell_angle_beta 90.00
_cell_angle_gamma 90.00
loop_
_symmetry_equiv_pos_as_xyz
'x,y,z'
loop_
_atom_site_label
_atom_site_fract_x
_atom_site_fract_y
_atom_site_fract_z
Nb1 0.000 0.500 0.000
Nb2 0.000 0.000 0.500
Nb3 0.500 0.000 0.000
Tc1 0.500 0.500 0.500
Al1 0.000 0.000 0.000

=====

# Nb3AlTc, relaxed, DFT PBE
# Energy of formation ... 4.810 eV/f.u.
# M_tot ... 0.00 μB per formula unit
# ΔE to the lowest computed polymorph ... 0 meV/atom
data_Nb3AlTc
_chemical_formula_sum 'Nb3 Al1 Tc1'
_symmetry_space_group_name_H-M 'P 1'
_symmetry_Int_Tables_number 1
_cell_length_a 4.795
_cell_length_b 4.795
_cell_length_c 4.795
_cell_angle_alpha 90.00
_cell_angle_beta 90.00
_cell_angle_gamma 90.00
loop_
_symmetry_equiv_pos_as_xyz
'x,y,z'
loop_
_atom_site_label
_atom_site_fract_x
_atom_site_fract_y
_atom_site_fract_z
Nb1 0.000 0.500 0.000
Nb2 0.000 0.000 0.500
Nb3 0.500 0.000 0.000
Tc1 0.000 0.000 0.000
Al1 0.500 0.500 0.500

=====

# Nb2AlTc2, relaxed, DFT PBE
# Energy of formation ... 0.339 eV/f.u.
# M_tot ... 0.00 μB per formula unit
data_Nb2AlTc2
_chemical_formula_sum 'Nb4 Al2 Tc4'
_symmetry_space_group_name_H-M 'P 1'
_symmetry_Int_Tables_number 1
_cell_length_a 7.348
_cell_length_b 7.348
_cell_length_c 3.179
_cell_angle_alpha 90.00
_cell_angle_beta 90.00
_cell_angle_gamma 90.00
loop_
_symmetry_equiv_pos_as_xyz
'x,y,z'
loop_
_atom_site_label
_atom_site_fract_x
_atom_site_fract_y
_atom_site_fract_z
Nb1 0.160 0.660 0.500
Nb2 0.660 0.840 0.500
Nb3 0.840 0.340 0.500
Nb4 0.340 0.160 0.500
Tc1 0.357 0.857 0.000
Tc2 0.857 0.643 0.000
Tc3 0.643 0.143 0.000
Tc4 0.143 0.357 0.000
Al1 0.000 0.000 0.000
Al2 0.500 0.500 0.000

=====

# Nb5AlTc6, relaxed, DFT PBE
# Energy of formation ... -4.291 eV/f.u.
# M_tot ... 0.00 μB per formula unit
data_Nb5AlTc6
_chemical_formula_sum 'Nb5 Al1 Tc6'
_symmetry_space_group_name_H-M 'P 1'
_symmetry_Int_Tables_number 1
_cell_length_a 4.477
_cell_length_b 6.360
_cell_length_c 7.770
_cell_angle_alpha 114.16
_cell_angle_beta 106.74
_cell_angle_gamma 90.00
loop_
_symmetry_equiv_pos_as_xyz
'x,y,z'
loop_
_atom_site_label
_atom_site_fract_x
_atom_site_fract_y
_atom_site_fract_z
Nb1 0.660 0.160 0.320
Nb2 0.332 0.332 0.664
Nb3 0.000 0.500 0.000
Nb4 0.668 0.668 0.336
Nb5 0.340 0.840 0.680
Al1 0.000 0.000 0.000
Tc1 0.833 0.582 0.665
Tc2 0.833 0.084 0.665
Tc3 0.500 0.747 0.000
Tc4 0.500 0.253 0.000
Tc5 0.167 0.916 0.335
Tc6 0.167 0.418 0.335

=====

# NbAl2Tc2, relaxed, DFT PBE
# Energy of formation ... 1.708 eV/f.u.
# M_tot ... 0.00 μB per formula unit
# ΔE to the lowest computed polymorph ... 571 meV/atom
data_NbAl2Tc2
_chemical_formula_sum 'Nb1 Al2 Tc2'
_symmetry_space_group_name_H-M 'P 1'
_symmetry_Int_Tables_number 1
_cell_length_a 4.151
_cell_length_b 4.151
_cell_length_c 5.791
_cell_angle_alpha 69.00
_cell_angle_beta 69.00
_cell_angle_gamma 90.00
loop_
_symmetry_equiv_pos_as_xyz
'x,y,z'
loop_
_atom_site_label
_atom_site_fract_x
_atom_site_fract_y
_atom_site_fract_z
Nb1 0.000 0.000 0.000
Tc1 0.389 0.389 0.222
Tc2 0.611 0.611 0.778
Al1 0.750 0.250 0.500
Al2 0.250 0.750 0.500

=====

Repeat the fourth record exactly.
# Nb4AlTc5, relaxed, DFT PBE
# Energy of formation ... -3.481 eV/f.u.
# M_tot ... 0.00 μB per formula unit
data_Nb4AlTc5
_chemical_formula_sum 'Nb4 Al1 Tc5'
_symmetry_space_group_name_H-M 'P 1'
_symmetry_Int_Tables_number 1
_cell_length_a 3.189
_cell_length_b 3.189
_cell_length_c 15.660
_cell_angle_alpha 90.00
_cell_angle_beta 90.00
_cell_angle_gamma 90.00
loop_
_symmetry_equiv_pos_as_xyz
'x,y,z'
loop_
_atom_site_label
_atom_site_fract_x
_atom_site_fract_y
_atom_site_fract_z
Nb1 0.000 0.000 0.191
Nb2 0.000 0.000 0.397
Nb3 0.000 0.000 0.603
Nb4 0.000 0.000 0.809
Al1 0.000 0.000 0.000
Tc1 0.500 0.500 0.096
Tc2 0.500 0.500 0.297
Tc3 0.500 0.500 0.500
Tc4 0.500 0.500 0.703
Tc5 0.500 0.500 0.904